Record 1
The following is a DFT calculation (PBE) of a geometry-optimized Cs2CeInS4 structure.

Lattice parameters (Å, degrees): 7.422 7.422 7.422 95.48 116.89 116.89
Site moments in Bohr magnetons follow the coordinates.
Atoms (fractional coordinates):
Cs: 0.500 0.750 0.250  0.00
Cs: 0.000 0.000 0.000  0.00
Ce: 0.500 0.250 0.750  0.94
In: 0.000 0.500 0.500  0.01
S: 0.610 0.387 0.467  -0.01
S: 0.080 0.223 0.613  -0.01
S: 0.920 0.533 0.143  -0.01
S: 0.390 0.857 0.777  -0.01

Output
Space group = No. 82
Fermi-level density of states = 7.99 states/eV per cell
Formation energy without anion corrections = -9.74 eV/f.u.

Record 2
The following is a DFT calculation (PBE) of a geometry-optimized Rb2ZrBiO structure.

Lattice parameters (Å, degrees): 7.170 5.661 7.170 90.00 90.00 90.00
Site moments in Bohr magnetons follow the coordinates.
Atoms (fractional coordinates):
O: 0.500 0.500 0.500  -0.89
Rb: 0.000 0.000 0.500  0.01
Rb: 0.500 0.000 0.000  0.01
Bi: 0.000 0.000 0.000  -0.09
Zr: 0.000 0.500 0.000  1.19

Output
Space group = No. 123
Fermi-level density of states = 9.89 states/eV per cell
Formation energy without anion corrections = 2.92 eV/f.u.

Record 3
The following is a DFT calculation (PBE) of a geometry-optimized CrTc2HAu structure.

Lattice parameters (Å, degrees): 4.653 3.099 4.653 90.00 90.00 90.00
Atoms (fractional coordinates):
Cr: 0.000 0.000 0.000
Au: 0.500 0.500 0.500
Tc: 0.000 0.000 0.500
Tc: 0.500 0.000 0.000
H: 0.000 0.500 0.000

Output
Space group = No. 123
Calculated total energy = -32.9 eV/f.u.
Fermi-level density of states = 4.99 states/eV per cell

Record 4
The following is a DFT calculation (PBE) of a geometry-optimized LaMgCo2 structure.

Lattice parameters (Å, degrees): 3.379 3.432 6.402 90.00 90.00 90.00
Site moments in Bohr magnetons follow the coordinates.
Atoms (fractional coordinates):
Co: 0.000 0.000 0.936  1.29
Co: 0.000 0.000 0.564  1.29
La: 0.500 0.500 0.250  -0.16
Mg: 0.500 0.500 0.750  -0.02

Output
Space group = No. 47
Formation energy from the elements = 0.184 eV/atom
Fermi-level density of states = 5.91 states/eV per cell